{"formula": "AsRhWBr2", "functional": "PBE", "state": "optimized geometry", "lattice": [[5.003, 0.000, 0.000], [0.000, 5.003, 0.000], [0.000, 0.000, 4.927]], "species": ["As", "Rh", "W", "Br", "Br"], "frac_coords": [[0.000, 0.000, 0.000], [0.500, 0.500, 0.000], [0.000, 0.000, 0.500], [0.000, 0.500, 0.500], [0.500, 0.000, 0.500]], "dft_energy_ev_per_fu": -22.7, "magmom_total_mub_per_fu": 0.0, "e_form_raw_ev_per_atom": 1.114, "de_polymorph_mev_per_atom": 0}